First-principles (GGA-PBEsol) data for KMg2Mn after structural relaxation, as listed in Alexandria via LeMat-Bulk.

Energy above the most stable polymorph in this dataset, meV per atom: 279
Mass density, kg/m3: 2400
ΔH_f (0 K), eV per formula unit: 2.9
Total magnetization, μB per formula unit: 3.677
E, eV per formula unit: -11.478
Space-group type: Cmmm (65)

```
KMg2Mn
1.0
3.8554 -3.8905 0.0000
3.8554 3.8905 0.0000
0.0000 0.0000 3.2899
K Mg Mn
1 2 1
Direct
0.0000 0.0000 0.0000
0.0000 0.5000 0.5000
0.5000 0.0000 0.5000
0.5000 0.5000 0.0000
```